Density functional theory data (PBE+U) for crystalline MnAg2HgF6 at its relaxed geometry.

Calculated values
Space-group type: P2_1/c, No. 14
Energy in eV per atom: -4.0863
Magnetization in Bohr magnetons per cell: 9.99

Structure (CIF):
```
data_MnAg2HgF6
_chemical_formula_sum 'Mn2 Ag4 Hg2 F12'
_cell_length_a 5.913
_cell_length_b 6.089
_cell_length_c 8.505
_cell_angle_alpha 90.00
_cell_angle_beta 89.37
_cell_angle_gamma 90.00
_space_group_name_H-M_alt 'P 1'
_space_group_IT_number 1
loop_
_space_group_symop_operation_xyz
'x,y,z'
loop_
_atom_site_label
_atom_site_type_symbol
_atom_site_fract_x
_atom_site_fract_y
_atom_site_fract_z
Ag1 Ag 0.519 0.560 0.753
Ag2 Ag 0.981 0.060 0.747
Ag3 Ag 0.019 0.940 0.253
Ag4 Ag 0.481 0.440 0.247
F1 F 0.120 0.448 0.764
F2 F 0.792 0.813 0.560
F3 F 0.180 0.212 0.068
F4 F 0.620 0.052 0.264
F5 F 0.292 0.687 0.060
F6 F 0.320 0.712 0.432
F7 F 0.880 0.552 0.236
F8 F 0.708 0.313 0.940
F9 F 0.820 0.788 0.932
F10 F 0.680 0.288 0.568
F11 F 0.208 0.187 0.440
F12 F 0.380 0.948 0.736
Mn1 Mn 0.500 0.000 0.500
Mn2 Mn 0.000 0.500 0.000
Hg1 Hg 0.500 0.000 0.000
Hg2 Hg 0.000 0.500 0.500
```